(1)
La2TbCu | PBE | optimized geometry

Computed properties:
* Fermi-level density of states: 4.57 states/eV/f.u.
* ΔE_f: 0.06 eV per atom
* E above lowest polymorph: 125 meV per atom
* total magnetic moment: 0.00 μB/f.u.

Geometry as POSCAR:
```
La2TbCu
1.0
3.7636 0.0000 0.0000
1.8818 3.2594 0.0000
1.8818 1.0865 10.0449
Tb La Cu
1 2 1
direct
0.4991 0.4991 0.5026
0.2638 0.2638 0.2085
0.0697 0.0697 0.7909
0.6674 0.6674 0.9979
```



(2)
Li2MgInF | PBE | optimized geometry

Computed properties:
* Fermi-level density of states: 0.42 states/eV/f.u.
* formation energy from raw total energies: -1.111 eV/atom
* total magnetic moment: 0.00 μB/f.u.

Geometry as POSCAR:
```
Li2MgInF
1.0
4.4587 0.0000 0.0000
0.0000 4.4587 0.0000
0.0000 0.0000 4.1551
In Mg Li F
1 1 2 1
direct
0.5000 0.5000 0.5000
0.0000 0.0000 0.5000
0.0000 0.5000 0.0000
0.5000 0.0000 0.0000
0.0000 0.0000 0.0000
```



(3)
SrSiAgAu2 | PBE | optimized geometry

Computed properties:
* Fermi-level density of states: 1.99 states/eV/f.u.
* formation energy from raw total energies: -0.334 eV/atom
* total magnetic moment: 0.00 μB/f.u.

Geometry as POSCAR:
```
SrSiAgAu2
1.0
-0.0474 4.5903 -1.8631
-3.8012 -1.2285 -2.9301
-3.1116 1.3727 3.4612
Au Sr Ag Si
2 1 1 1
direct
0.5000 0.0000 0.0000
0.0000 0.5000 0.0000
0.5000 0.5000 0.5000
0.0000 0.0000 0.5000
0.0000 0.0000 0.0000
```



(4)
Li3Tm3Ga8 | PBE | optimized geometry

Computed properties:
* Fermi-level density of states: 3.04 states/eV/f.u.
* ΔE_f: -0.48 eV per atom
* total magnetic moment: 0.00 μB/f.u.

Geometry as POSCAR:
```
Li3Tm3Ga8
1.0
4.0918 0.0000 1.1143
1.4531 7.6349 2.7339
-0.0458 0.0922 8.2382
Tm Ga Li
3 8 3
direct
0.7953 0.2047 0.2047
0.5000 0.5000 0.5000
0.2047 0.7953 0.7953
0.8467 0.5188 0.7878
0.8467 0.7878 0.5188
0.3614 0.9254 0.3518
0.6386 0.6482 0.0746
0.6386 0.0746 0.6482
0.3614 0.3518 0.9254
0.1533 0.4812 0.2122
0.1533 0.2122 0.4812
0.0000 0.8093 0.1907
0.5000 0.0000 0.0000
0.0000 0.1907 0.8093
```



(5)
NaCaSmPb | PBE | optimized geometry

Computed properties:
* Fermi-level density of states: 2.62 states/eV/f.u.
* ΔE_f: -0.24 eV per atom
* total magnetic moment: 0.00 μB/f.u.

Geometry as POSCAR:
```
NaCaSmPb
1.0
-4.7176 2.5872 -1.3298
-3.9971 0.5972 3.7926
-1.1007 5.0092 2.1008
Ca Sm Na Pb
1 1 1 1
direct
0.2500 0.2500 0.2500
0.7500 0.7500 0.7500
0.0000 0.0000 0.0000
0.5000 0.5000 0.5000
```



(6)
TbNd2Cl | PBE | optimized geometry

Computed properties:
* Fermi-level density of states: 3.85 states/eV/f.u.
* formation energy from raw total energies: -0.671 eV/atom
* total magnetic moment: 0.00 μB/f.u.

Geometry as POSCAR:
```
TbNd2Cl
1.0
3.6763 0.0000 0.0000
1.8382 3.1838 0.0000
1.8382 1.0613 10.3320
Nd Tb Cl
2 1 1
direct
0.2603 0.2603 0.2191
0.7397 0.7397 0.7809
0.5000 0.5000 0.5000
0.0000 0.0000 0.0000
```